Li2RuAu | Alexandria | PBE | relaxed; SG = F-43m; E_tot = -3.98 eV/atom; ΔE to the lowest computed polymorph = 181 meV/atom; Fermi-level density of states = 5.1 states/eV per cell; energy of formation from the pure elements = 0.114 eV per atom
1.0
4.403 0.000 0.000
2.202 3.813 0.000
2.202 1.271 3.595
Au Ru Li
1 1 2
Direct
0.500 0.500 0.500 Au
0.750 0.750 0.750 Ru
0.000 0.000 0.000 Li
0.250 0.250 0.250 Li